{"formula": "Zr2TiSi", "functional": "PBE", "state": "optimized geometry", "raw_formation_energy_mev_per_atom": -361.6, "lattice": [[4.257, 0.000, 0.000], [0.000, 4.257, 0.000], [0.000, 0.000, 4.103]], "species": ["Zr", "Zr", "Ti", "Si"], "frac_coords": [[0.000, 0.500, 0.000], [0.500, 0.000, 0.000], [0.000, 0.000, 0.500], [0.500, 0.500, 0.500]]}